(1)
Crystalline Nd5TmTl at its relaxed geometry. Source: Alexandria, functional PBE.

The raw total energy comes out at -29.52 eV for the cell shown.

It has space group P4/mmm (No. 123), with a = 4.859 Å, b = 4.859 Å, c = 10.362 Å, α = 90.00°, β = 90.00° and γ = 90.00°. The asymmetric unit holds Nd at (0.000, 0.000, 0.000), Nd at (0.000, 0.500, 0.247), Tm at (0.500, 0.500, 0.500) and Tl at (0.500, 0.500, 0.000).

---

(2)
Crystalline PaTl2Bi3O12 at its relaxed geometry. Source: Alexandria, functional PBE.

The raw total energy comes out at -317.19 eV for the cell shown. The formation energy without anion corrections is -20.4 eV per formula unit.

It has space group R-3m (No. 166, hexagonal axes), with a = 7.7489 Å, b = 7.7489 Å, c = 20.1174 Å, α = 90.00°, β = 90.00° and γ = 120.00°. The asymmetric unit holds Pa at (0.0000, 0.0000, 0.0000), Tl at (0.0000, 0.0000, 0.4059), Bi at (0.0000, 0.5000, 0.5000), O at (0.0532, 0.5266, 0.8593) and O at (0.0819, 0.5410, 0.6026).

---

(3)
Crystalline Er3Fe5S12 at its relaxed geometry. Source: Alexandria, functional PBE.

The raw total energy comes out at -990.07 eV for the cell shown. The formation energy without anion corrections is -18.2 eV per formula unit.

It has space group Ia-3d (No. 230), with a = 14.649 Å, b = 14.649 Å, c = 14.649 Å, α = 90.00°, β = 90.00° and γ = 90.00°. The asymmetric unit holds Er at (0.000, 0.250, 0.125), Fe at (0.000, 0.000, 0.000), Fe at (0.000, 0.250, 0.375) and S at (0.030, 0.058, 0.649).

---

(4)
Crystalline LaSiPd6 at its relaxed geometry. Source: Alexandria, functional PBE.

The raw total energy comes out at -135.50 eV for the cell shown. The formation energy without anion corrections is -3.7 eV per formula unit.

It has space group R-3m (No. 166, hexagonal axes), with a = 5.8138 Å, b = 5.8138 Å, c = 16.2129 Å, α = 90.00°, β = 90.00° and γ = 120.00°. The asymmetric unit holds La at (0.0000, 0.0000, 0.0000), Si at (0.0000, 0.0000, 0.5000) and Pd at (0.0238, 0.5119, 0.9181).

---

(5)
Crystalline U2TiNbN4 at its relaxed geometry. Source: Alexandria, functional PBE.

The raw total energy comes out at -84.63 eV for the cell shown. The formation energy without anion corrections is -10.8 eV per formula unit.

It has space group P2/m (No. 10), with a = 5.632 Å, b = 3.256 Å, c = 5.645 Å, α = 90.00°, β = 109.26° and γ = 90.00°. The asymmetric unit holds U at (0.000, 0.000, 0.000), U at (0.500, 0.500, 0.000), Ti at (0.000, 0.500, 0.500), Nb at (0.500, 0.000, 0.500), N at (0.234, 0.000, 0.724) and N at (0.250, 0.500, 0.273).

---

(6)
Crystalline RbPuPaO6 at its relaxed geometry. Source: Alexandria, functional PBE.

The raw total energy comes out at -320.72 eV for the cell shown. The formation energy without anion corrections is -25.6 eV per formula unit.

It has space group Imma (No. 74), with a = 7.950 Å, b = 7.953 Å, c = 11.246 Å, α = 90.00°, β = 90.00° and γ = 90.00°. The asymmetric unit holds Rb at (0.000, 0.250, 0.136), Pu at (0.250, 0.250, 0.750), Pa at (0.000, 0.000, 0.500), O at (0.000, 0.250, 0.427), O at (0.000, 0.250, 0.807) and O at (0.198, 0.065, 0.627).

---

(7)
Crystalline Hf2UPd at its relaxed geometry. Source: Alexandria, functional PBE.

The raw total energy comes out at -37.14 eV for the cell shown. The energy above the most stable polymorph in this dataset comes out at 0.0 meV per atom.

It has space group P4/mmm (No. 123), with a = 3.083 Å, b = 3.083 Å, c = 8.509 Å, α = 90.00°, β = 90.00° and γ = 90.00°. The asymmetric unit holds Hf at (0.000, 0.000, 0.224), U at (0.500, 0.500, 0.500) and Pd at (0.500, 0.500, 0.000).

---

(8)
Crystalline HgAuSe at its relaxed geometry. Source: Alexandria, functional PBE.

The raw total energy comes out at -12.82 eV for the cell shown. The energy above the most stable polymorph in this dataset comes out at 325.1 meV per atom. The formation energy without anion corrections is 0.7 eV per formula unit.

It has space group Imm2 (No. 44), with a = 2.801 Å, b = 3.997 Å, c = 11.919 Å, α = 90.00°, β = 90.00° and γ = 90.00°. The asymmetric unit holds Hg at (0.000, 0.000, 0.000), Au at (0.000, 0.000, 0.339) and Se at (0.000, 0.000, 0.698).

---

(9)
Crystalline LiSnHg at its relaxed geometry. Source: Alexandria, functional PBE.

The raw total energy comes out at -13.65 eV for the cell shown. The energy above the most stable polymorph in this dataset comes out at 12.9 meV per atom.

It has space group P-1 (No. 2), with a = 4.267 Å, b = 5.158 Å, c = 7.054 Å, α = 105.68°, β = 90.07° and γ = 114.37°. The asymmetric unit holds Li at (0.112, 0.224, 0.193), Sn at (0.163, 0.327, 0.623) and Hg at (0.392, 0.784, 0.110).

---

(10)
Crystalline TmScNi5Ge2 at its relaxed geometry. Source: Alexandria, functional PBE.

The raw total energy comes out at -53.11 eV for the cell shown.

It has space group P4/mmm (No. 123), with a = 3.898 Å, b = 3.898 Å, c = 8.703 Å, α = 90.00°, β = 90.00° and γ = 90.00°. The asymmetric unit holds Tm at (0.000, 0.000, 0.000), Sc at (0.000, 0.000, 0.500), Ni at (0.000, 0.500, 0.218), Ni at (0.500, 0.500, 0.000) and Ge at (0.500, 0.500, 0.359).

---

(11)
Crystalline CaAs2Se at its relaxed geometry. Source: Alexandria, functional PBE.

The raw total energy comes out at -33.70 eV for the cell shown. The formation energy without anion corrections is -2.1 eV per formula unit.

It has space group Imm2 (No. 44), with a = 3.806 Å, b = 5.204 Å, c = 9.028 Å, α = 90.00°, β = 90.00° and γ = 90.00°. The asymmetric unit holds Ca at (0.000, 0.000, 0.000), As at (0.000, 0.000, 0.527), As at (0.000, 0.500, 0.219) and Se at (0.000, 0.500, 0.788).

---

(12)
Crystalline TlTeI2O at its relaxed geometry. Source: Alexandria, functional PBE.

The raw total energy comes out at -12.61 eV for the cell shown. The energy above the most stable polymorph in this dataset comes out at 609.5 meV per atom. The formation energy without anion corrections is 1.0 eV per formula unit.

It has space group P4/mmm (No. 123), with a = 6.224 Å, b = 6.224 Å, c = 4.059 Å, α = 90.00°, β = 90.00° and γ = 90.00°. The asymmetric unit holds Tl at (0.000, 0.000, 0.000), Te at (0.500, 0.500, 0.500), I at (0.000, 0.500, 0.000) and O at (0.000, 0.000, 0.500).

---

> raw total energy of number 12 (TlTeI2O)?

-12.61 eV for the cell shown